(1)
# GGA-PBE Ho3Tm2ScTe6, optimized geometry
# Total magnetization   0.00 μB per formula unit
# ΔE_f (raw)   -1193.8 meV per atom
# DFT total energy   -5.1820 eV/atom
data_Ho3Tm2ScTe6
_cell_length_a 9.612
_cell_length_b 9.612
_cell_length_c 8.631
_cell_angle_alpha 103.12
_cell_angle_beta 103.12
_cell_angle_gamma 25.75
_symmetry_space_group_name_H-M 'P 1'
_symmetry_Int_Tables_number 1
loop_
_symmetry_equiv_pos_as_xyz
'x,y,z'
loop_
_atom_site_label
_atom_site_type_symbol
_atom_site_fract_x
_atom_site_fract_y
_atom_site_fract_z
Ho1 Ho 0.000 0.000 0.000
Ho2 Ho 0.330 0.330 0.664
Ho3 Ho 0.670 0.670 0.336
Tm1 Tm 0.334 0.334 0.168
Tm2 Tm 0.666 0.666 0.832
Sc1 Sc 0.000 0.000 0.500
Te1 Te 0.162 0.162 0.583
Te2 Te 0.168 0.168 0.081
Te3 Te 0.499 0.499 0.741
Te4 Te 0.501 0.501 0.259
Te5 Te 0.832 0.832 0.919
Te6 Te 0.838 0.838 0.417

=====

(2)
# GGA-PBE Pr4PtS2Br, optimized geometry
# Total magnetization   0.00 μB per formula unit
# ΔE_f (raw)   -1574.1 meV per atom
# DFT total energy   -5.9600 eV/atom
data_Pr4PtS2Br
_cell_length_a 7.347
_cell_length_b 4.064
_cell_length_c 7.417
_cell_angle_alpha 90.00
_cell_angle_beta 108.38
_cell_angle_gamma 90.00
_symmetry_space_group_name_H-M 'P 1'
_symmetry_Int_Tables_number 1
loop_
_symmetry_equiv_pos_as_xyz
'x,y,z'
loop_
_atom_site_label
_atom_site_type_symbol
_atom_site_fract_x
_atom_site_fract_y
_atom_site_fract_z
Pr1 Pr 0.230 0.000 0.223
Pr2 Pr 0.238 0.500 0.753
Pr3 Pr 0.762 0.500 0.247
Pr4 Pr 0.770 0.000 0.777
Pt1 Pt 0.000 0.000 0.500
S1 S 0.000 0.500 0.000
S2 S 0.500 0.000 0.000
Br1 Br 0.500 0.500 0.500

=====

(3)
# GGA-PBE Rb3Pm2PaS6, optimized geometry
# Total magnetization   1.69 μB per formula unit
# ΔE_f (raw)   -1692.5 meV per atom
# DFT total energy   -5.5813 eV/atom
data_Rb3Pm2PaS6
_cell_length_a 7.178
_cell_length_b 7.178
_cell_length_c 8.093
_cell_angle_alpha 98.50
_cell_angle_beta 98.50
_cell_angle_gamma 119.99
_symmetry_space_group_name_H-M 'P 1'
_symmetry_Int_Tables_number 1
loop_
_symmetry_equiv_pos_as_xyz
'x,y,z'
loop_
_atom_site_label
_atom_site_type_symbol
_atom_site_fract_x
_atom_site_fract_y
_atom_site_fract_z
Rb1 Rb 0.000 0.000 0.000
Rb2 Rb 0.331 0.669 0.000
Rb3 Rb 0.669 0.331 0.000
Pm1 Pm 0.166 0.834 0.500
Pm2 Pm 0.834 0.166 0.500
Pa1 Pa 0.500 0.500 0.500
S1 S 0.112 0.435 0.303
S2 S 0.243 0.243 0.697
S3 S 0.435 0.112 0.303
S4 S 0.565 0.888 0.697
S5 S 0.757 0.757 0.303
S6 S 0.888 0.565 0.697

=====

(4)
# GGA-PBE Si2Ir2Au, optimized geometry
# Total magnetization   0.00 μB per formula unit
# Energy above the lowest structure with this stoichiometry   133 meV/atom
# ΔE_f (raw)   -339.0 meV per atom
# DFT total energy   -6.7080 eV/atom
data_Si2Ir2Au
_cell_length_a 7.212
_cell_length_b 7.212
_cell_length_c 2.793
_cell_angle_alpha 90.00
_cell_angle_beta 90.00
_cell_angle_gamma 90.00
_symmetry_space_group_name_H-M 'P 1'
_symmetry_Int_Tables_number 1
loop_
_symmetry_equiv_pos_as_xyz
'x,y,z'
loop_
_atom_site_label
_atom_site_type_symbol
_atom_site_fract_x
_atom_site_fract_y
_atom_site_fract_z
Si1 Si 0.149 0.351 0.000
Si2 Si 0.351 0.851 0.000
Si3 Si 0.649 0.149 0.000
Si4 Si 0.851 0.649 0.000
Ir1 Ir 0.143 0.643 0.500
Ir2 Ir 0.357 0.143 0.500
Ir3 Ir 0.643 0.857 0.500
Ir4 Ir 0.857 0.357 0.500
Au1 Au 0.000 0.000 0.000
Au2 Au 0.500 0.500 0.000

=====

Repeat the first record exactly.
# GGA-PBE Ho3Tm2ScTe6, optimized geometry
# Total magnetization   0.00 μB per formula unit
# ΔE_f (raw)   -1193.8 meV per atom
# DFT total energy   -5.1820 eV/atom
data_Ho3Tm2ScTe6
_cell_length_a 9.612
_cell_length_b 9.612
_cell_length_c 8.631
_cell_angle_alpha 103.12
_cell_angle_beta 103.12
_cell_angle_gamma 25.75
_symmetry_space_group_name_H-M 'P 1'
_symmetry_Int_Tables_number 1
loop_
_symmetry_equiv_pos_as_xyz
'x,y,z'
loop_
_atom_site_label
_atom_site_type_symbol
_atom_site_fract_x
_atom_site_fract_y
_atom_site_fract_z
Ho1 Ho 0.000 0.000 0.000
Ho2 Ho 0.330 0.330 0.664
Ho3 Ho 0.670 0.670 0.336
Tm1 Tm 0.334 0.334 0.168
Tm2 Tm 0.666 0.666 0.832
Sc1 Sc 0.000 0.000 0.500
Te1 Te 0.162 0.162 0.583
Te2 Te 0.168 0.168 0.081
Te3 Te 0.499 0.499 0.741
Te4 Te 0.501 0.501 0.259
Te5 Te 0.832 0.832 0.919
Te6 Te 0.838 0.838 0.417

=====

Question: Which of these has the lowest ΔE_f (raw)?
Answer: Rb3Pm2PaS6